The following is a DFT calculation (PBE-GGA) of an optimized crystal structure of BaBTe2.

Cell lengths 7.8264, 7.8264, 7.8264 Å; angles 41.87, 41.87, 41.87 degrees
Atoms (fractional coordinates):
Ba 0.0000 0.0000 0.0000
B 0.5000 0.5000 0.5000
Te 0.4029 0.4029 0.4029
Te 0.5971 0.5971 0.5971

Summary:
E_form (uncorrected) in meV per atom: -108
Space-group type: R-3m, No. 166


The following is a DFT calculation (PBE-GGA) of an optimized crystal structure of Nd3TmSc2Te6.

Cell lengths 9.8058, 9.8058, 8.8356 Å; angles 104.80, 104.80, 25.34 degrees
Atoms (fractional coordinates):
Nd 0.0000 0.0000 0.0000
Nd 0.3360 0.3360 0.6716
Nd 0.6640 0.6640 0.3284
Tm 0.0000 0.0000 0.5000
Sc 0.3321 0.3321 0.1653
Sc 0.6679 0.6679 0.8347
Te 0.1643 0.1643 0.5982
Te 0.1723 0.1723 0.0673
Te 0.4922 0.4922 0.2573
Te 0.5078 0.5078 0.7427
Te 0.8277 0.8277 0.9327
Te 0.8357 0.8357 0.4018

Summary:
E_form (uncorrected) in meV per atom: -1273
Space-group type: C2/m, No. 12


The following is a DFT calculation (PBE-GGA) of an optimized crystal structure of Th4Bi2AsSe.

Cell lengths 7.6408, 4.3868, 7.6859 Å; angles 90.00, 109.16, 90.00 degrees
Atoms (fractional coordinates):
Th 0.2373 0.0000 0.2147
Th 0.2594 0.5000 0.7844
Th 0.7406 0.5000 0.2156
Th 0.7627 0.0000 0.7853
Bi 0.0000 0.0000 0.5000
Bi 0.5000 0.5000 0.5000
As 0.0000 0.5000 0.0000
Se 0.5000 0.0000 0.0000

Summary:
E_form (uncorrected) in meV per atom: -1025
Space-group type: P2/m, No. 10


The following is a DFT calculation (PBE-GGA) of an optimized crystal structure of Ca2NiSe.

Cell lengths 7.5766, 7.5766, 7.5766 Å; angles 31.14, 31.14, 31.14 degrees
Atoms (fractional coordinates):
Ca 0.0000 0.0000 0.0000
Ca 0.1825 0.1825 0.1825
Ni 0.4235 0.4235 0.4235
Se 0.7588 0.7588 0.7588

Summary:
E_form (uncorrected) in meV per atom: -731
Space-group type: R3m, No. 160


Q: Which of these has the lowest E_form (uncorrected)?
A: Nd3TmSc2Te6